1.
First-principles (PBE) data for a relaxed TlTcIr2 crystal, as listed in Alexandria.

abc: 2.8158 3.8253 6.2103
angles: 90.00 90.00 90.00
Last column: nearest neighbours and their distance in Å.
Atoms (fractional coordinates):
Ir 0.0000 0.0000 0.0293  1 Tc 2.64, 6 Ir 2.78-2.82, 4 Tl 2.93
Ir 0.5000 0.5000 0.2618  4 Tc 2.66, 6 Ir 2.78-2.82
Tc 0.0000 0.0000 0.4550  5 Ir 2.64-2.66, 2 Tc 2.82
Tl 0.5000 0.5000 0.7539  2 Tl 2.82, 5 Ir 2.93-3.06, 4 Tc 3.01

Calculated values
- E above lowest polymorph (kJ/mol of formula units) = 77
- raw total energy (eV for the cell shown) = -28.83



2.
First-principles (PBE) data for a relaxed TlTc2Ir crystal, as listed in Alexandria.

abc: 4.7612 4.7612 2.8981
angles: 90.00 90.00 90.00
Last column: nearest neighbours and their distance in Å.
Atoms (fractional coordinates):
Ir 0.0000 0.5000 0.5000  8 Tc 2.79, 2 Ir 2.90
Tc 0.0000 0.0000 0.0000  4 Tl 2.79, 4 Ir 2.79, 2 Tc 2.90
Tc 0.5000 0.5000 0.0000  4 Tl 2.79, 4 Ir 2.79, 2 Tc 2.90
Tl 0.5000 0.0000 0.5000  8 Tc 2.79, 2 Tl 2.90

Calculated values
- E above lowest polymorph (kJ/mol of formula units) = 146
- raw total energy (eV for the cell shown) = -29.14



3.
First-principles (PBE) data for a relaxed TlTcIr2 crystal, as listed in Alexandria.

abc: 2.9163 4.7779 4.7257
angles: 90.00 90.00 90.00
Last column: nearest neighbours and their distance in Å.
Atoms (fractional coordinates):
Ir 0.0000 0.0000 0.0000  4 Tc 2.78, 6 Ir 2.80-2.92
Ir 0.5000 0.5000 0.0000  4 Tl 2.78, 6 Ir 2.80-2.92
Tc 0.5000 0.0000 0.5000  4 Ir 2.78, 4 Tl 2.80, 2 Tc 2.92
Tl 0.0000 0.5000 0.5000  4 Ir 2.78, 4 Tc 2.80, 2 Tl 2.92

Calculated values
- E above lowest polymorph (kJ/mol of formula units) = 174
- raw total energy (eV for the cell shown) = -27.83



4.
First-principles (PBE) data for a relaxed Tl2TcIr crystal, as listed in Alexandria.

abc: 4.8072 4.8072 4.8072
angles: 60.00 60.00 60.00
Last column: nearest neighbours and their distance in Å.
Atoms (fractional coordinates):
Ir 0.5000 0.5000 0.5000  4 Tc 2.94, 4 Tl 2.94
Tc 0.7500 0.7500 0.7500  4 Tl 2.94, 4 Ir 2.94
Tl 0.0000 0.0000 0.0000  4 Tl 2.94, 4 Tc 2.94
Tl 0.2500 0.2500 0.2500  4 Tl 2.94, 4 Ir 2.94

Calculated values
- E above lowest polymorph (kJ/mol of formula units) = 203
- raw total energy (eV for the cell shown) = -20.39



5.
First-principles (PBE) data for a relaxed TlTcIr2 crystal, as listed in Alexandria.

abc: 6.5943 6.5943 6.5943
angles: 155.31 142.74 45.22
Last column: nearest neighbours and their distance in Å.
Atoms (fractional coordinates):
Ir 0.9627 0.9627 0.0000  4 Tc 2.67, 2 Ir 2.82, 2 Tl 2.88
Ir 0.7042 0.2042 0.5000  2 Tc 2.53, 4 Tl 2.80, 2 Ir 2.82
Tc 0.5316 0.5316 0.0000  6 Ir 2.53-2.67, 2 Tc 2.82
Tl 0.3015 0.8015 0.5000  6 Ir 2.80-2.88, 2 Tl 2.82

Calculated values
- E above lowest polymorph (kJ/mol of formula units) = 105
- raw total energy (eV for the cell shown) = -28.54



6.
First-principles (PBE) data for a relaxed TlTc2Ir crystal, as listed in Alexandria.

abc: 9.3882 9.3882 9.3882
angles: 17.57 17.57 17.57
Last column: nearest neighbours and their distance in Å.
Atoms (fractional coordinates):
Ir 0.7500 0.7500 0.7500  6 Tc 2.70, 6 Ir 2.87
Tc 0.0062 0.0062 0.0062  3 Ir 2.70, 6 Tc 2.87, 3 Tl 2.98
Tc 0.4938 0.4938 0.4938  3 Ir 2.70, 6 Tc 2.87, 3 Tl 2.98
Tl 0.2500 0.2500 0.2500  6 Tl 2.87, 6 Tc 2.98

Calculated values
- E above lowest polymorph (kJ/mol of formula units) = 60
- raw total energy (eV for the cell shown) = -30.02



7.
First-principles (PBE) data for a relaxed TlTcIr2 crystal, as listed in Alexandria.

abc: 9.3288 9.3288 9.3288
angles: 17.76 17.76 17.76
Last column: nearest neighbours and their distance in Å.
Atoms (fractional coordinates):
Ir 0.9953 0.9953 0.9953  9 Ir 2.78-2.88, 3 Tl 2.94
Ir 0.2479 0.2479 0.2479  3 Tc 2.64, 9 Ir 2.78-2.88
Tc 0.5067 0.5067 0.5067  3 Ir 2.64, 6 Tc 2.88
Tl 0.7501 0.7501 0.7501  6 Tl 2.88, 3 Ir 2.94, 3 Tc 2.98

Calculated values
- E above lowest polymorph (kJ/mol of formula units) = 102
- raw total energy (eV for the cell shown) = -28.58



8.
First-principles (PBE) data for a relaxed TlTc2Ir crystal, as listed in Alexandria.

abc: 7.4417 7.4417 5.9033
angles: 50.93 50.93 90.00
Last column: nearest neighbours and their distance in Å.
Atoms (fractional coordinates):
Tl 0.0000 0.0000 0.0000  2 Ir 2.68, 4 Tc 2.96
Tl 0.7500 0.2500 0.5000  2 Ir 2.68, 4 Tc 2.96
Ir 0.5000 0.5000 0.0000  4 Tc 2.49, 2 Tl 2.68
Ir 0.2500 0.7500 0.5000  4 Tc 2.49, 2 Tl 2.68
Tc 0.5783 0.1250 0.2500  2 Ir 2.49, 2 Tc 2.76
Tc 0.1717 0.6250 0.2500  2 Ir 2.49, 2 Tc 2.76
Tc 0.3750 0.4217 0.7500  2 Ir 2.49, 2 Tc 2.76
Tc 0.8750 0.8283 0.7500  2 Ir 2.49, 2 Tc 2.76

Calculated values
- E above lowest polymorph (kJ/mol of formula units) = 231
- raw total energy (eV for the cell shown) = -56.51



9.
First-principles (PBE) data for a relaxed TlTc2Ir crystal, as listed in Alexandria.

abc: 9.3003 9.3003 9.3003
angles: 17.86 17.86 17.86
Last column: nearest neighbours and their distance in Å.
Atoms (fractional coordinates):
Ir 0.7433 0.7433 0.7433  3 Tc 2.70, 6 Ir 2.89, 3 Tl 2.98
Tc 0.9994 0.9994 0.9994  9 Tc 2.66-2.89, 3 Ir 2.70
Tc 0.2574 0.2574 0.2574  9 Tc 2.66-2.89
Tl 0.4999 0.4999 0.4999  6 Tl 2.89, 3 Ir 2.98, 3 Tc 3.00

Calculated values
- E above lowest polymorph (kJ/mol of formula units) = 26
- raw total energy (eV for the cell shown) = -30.38



10.
First-principles (PBE) data for a relaxed TlTc2Ir crystal, as listed in Alexandria.

abc: 5.0811 5.0811 5.0347
angles: 134.44 134.44 67.20
Last column: nearest neighbours and their distance in Å.
Atoms (fractional coordinates):
Ir 0.2500 0.7500 0.5000  4 Tl 2.73-2.81, 8 Tc 2.88
Tc 0.0000 0.0000 0.0000  4 Tc 2.73-2.81, 4 Ir 2.88, 4 Tl 2.88
Tc 0.5000 0.5000 0.0000  4 Tc 2.73-2.81, 4 Ir 2.88, 4 Tl 2.88
Tl 0.7500 0.2500 0.5000  4 Ir 2.73-2.81, 8 Tc 2.88

Calculated values
- E above lowest polymorph (kJ/mol of formula units) = 75
- raw total energy (eV for the cell shown) = -29.88



11.
First-principles (PBE) data for a relaxed TlTcIr2 crystal, as listed in Alexandria.

abc: 4.8879 4.8879 2.8736
angles: 90.00 90.00 108.80
Last column: nearest neighbours and their distance in Å.
Atoms (fractional coordinates):
Ir 0.0000 0.0000 0.0000  4 Tc 2.83-2.84, 4 Tl 2.83-2.84, 4 Ir 2.85-2.87
Ir 0.5000 0.5000 0.0000  4 Tl 2.83-2.84, 4 Tc 2.83-2.84, 4 Ir 2.85-2.87
Tc 0.5000 0.0000 0.5000  8 Ir 2.83-2.84, 2 Tl 2.85, 2 Tc 2.87
Tl 0.0000 0.5000 0.5000  8 Ir 2.83-2.84, 2 Tc 2.85, 2 Tl 2.87

Calculated values
- E above lowest polymorph (kJ/mol of formula units) = 104
- raw total energy (eV for the cell shown) = -28.55



12.
First-principles (PBE) data for a relaxed TlTcIr2 crystal, as listed in Alexandria.

abc: 2.8596 2.8596 8.0579
angles: 90.00 90.00 90.00
Last column: nearest neighbours and their distance in Å.
Atoms (fractional coordinates):
Ir 0.0000 0.0000 0.0297  4 Tc 2.69, 4 Ir 2.86
Ir 0.0000 0.0000 0.4703  4 Tc 2.69, 4 Ir 2.86
Tc 0.5000 0.5000 0.2500  8 Ir 2.69, 4 Tc 2.86
Tl 0.5000 0.5000 0.7500  4 Tl 2.86, 8 Ir 3.03

Calculated values
- E above lowest polymorph (kJ/mol of formula units) = 0
- raw total energy (eV for the cell shown) = -29.63



13.
First-principles (PBE) data for a relaxed TlTcIr2 crystal, as listed in Alexandria.

abc: 4.8127 4.8127 2.8777
angles: 90.00 90.00 90.00
Last column: nearest neighbours and their distance in Å.
Atoms (fractional coordinates):
Ir 0.0000 0.0000 0.0000  4 Tl 2.80, 4 Tc 2.80, 2 Ir 2.88
Ir 0.5000 0.5000 0.0000  4 Tl 2.80, 4 Tc 2.80, 2 Ir 2.88
Tc 0.5000 0.0000 0.5000  8 Ir 2.80, 2 Tc 2.88
Tl 0.0000 0.5000 0.5000  8 Ir 2.80, 2 Tl 2.88

Calculated values
- E above lowest polymorph (kJ/mol of formula units) = 161
- raw total energy (eV for the cell shown) = -27.96



14.
First-principles (PBE) data for a relaxed TlTc2Ir crystal, as listed in Alexandria.

abc: 2.8847 4.8350 5.6882
angles: 55.23 90.00 90.00
Last column: nearest neighbours and their distance in Å.
Atoms (fractional coordinates):
Ir 0.0000 0.0000 0.5000  4 Tl 2.82, 6 Tc 2.84-2.86, 2 Ir 2.88
Tc 0.0000 0.0000 0.0000  6 Tc 2.82-2.88, 2 Ir 2.84, 4 Tl 2.86
Tc 0.5000 0.5000 0.0000  6 Tc 2.82-2.88, 2 Tl 2.84, 4 Ir 2.86
Tl 0.5000 0.5000 0.5000  4 Ir 2.82, 6 Tc 2.84-2.86, 2 Tl 2.88

Calculated values
- E above lowest polymorph (kJ/mol of formula units) = 104
- raw total energy (eV for the cell shown) = -29.57



15.
First-principles (PBE) data for a relaxed Tl2TcIr crystal, as listed in Alexandria.

abc: 5.3799 5.3799 5.3799
angles: 135.16 135.16 65.28
Last column: nearest neighbours and their distance in Å.
Atoms (fractional coordinates):
Ir 0.5000 0.5000 0.0000  8 Tl 2.90-3.06, 4 Tc 3.06
Tc 0.7500 0.2500 0.5000  8 Tl 2.90-3.06, 4 Ir 3.06
Tl 0.0000 0.0000 0.0000  4 Ir 2.90, 4 Tc 3.06, 4 Tl 3.06
Tl 0.2500 0.7500 0.5000  4 Tc 2.90, 4 Tl 3.06, 4 Ir 3.06

Calculated values
- E above lowest polymorph (kJ/mol of formula units) = 182
- raw total energy (eV for the cell shown) = -20.61